{
  "formula": "MnTl2Br4",
  "functional": "PBE",
  "state": "relaxed",
  "space_group": "I4/mmm",
  "energy_ev_per_atom": -3.740,
  "rho_g_cm3": 5.511,
  "raw_formation_energy_mev_per_atom": -798,
  "polymorph_energy_mev_per_atom": 38.9,
  "m_tot_mub_per_fu": 5.00,
  "cell": [[5.3493, 0.0000, 0.0000], [0.0000, 5.3493, 0.0000], [2.6746, 2.6746, 8.2481]],
  "species": ["Br", "Mn", "Br", "Br", "Br", "Tl", "Tl"],
  "frac_coords": [[0.1613, 0.1613, 0.6775], [0.0000, 0.0000, 0.0000], [0.0000, 0.5000, 0.0000], [0.8387, 0.8387, 0.3225], [0.5000, 0.0000, 0.0000], [0.6403, 0.6403, 0.7194], [0.3597, 0.3597, 0.2806]]
}